# Er5Sn2C2

An optimized crystal structure of Er5Sn2C2 (GGA-PBE, Alexandria).

E = -106.5 eV per cell
energy of formation from the pure elements = -0.442 eV/atom

Lattice parameters (Å, degrees): 6.782 6.644 10.980 107.61 107.99 90.00
Fractional coordinates of all 18 atoms:
Er  0.248  0.737  0.996
Er  0.752  0.742  0.004
Er  0.247  0.237  0.996
Er  0.753  0.242  0.004
Er  0.153  0.121  0.278
Er  0.847  0.843  0.722
Er  0.625  0.621  0.278
Er  0.375  0.343  0.722
Er  0.135  0.635  0.500
Er  0.865  0.135  0.500
Sn  0.115  0.599  0.215
Sn  0.885  0.385  0.785
Sn  0.599  0.099  0.215
Sn  0.401  0.885  0.785
C  0.000  0.989  0.000
C  0.500  0.489  0.000
C  0.171  0.285  0.500
C  0.829  0.785  0.500

# VSiS3

An optimized crystal structure of VSiS3 (GGA-PBE, Alexandria).

energy relative to the elements, uncorrected = -464 meV per atom
E = -58.5 eV per cell
ΔE to the lowest computed polymorph = 0 meV/atom

Lattice parameters (Å, degrees): 3.291 6.379 10.702 90.00 98.84 90.00
Fractional coordinates of all 10 atoms:
V  0.894  0.952  0.788
V  0.106  0.452  0.212
Si  0.357  0.550  0.714
Si  0.643  0.050  0.286
S  0.876  0.305  0.752
S  0.124  0.805  0.248
S  0.557  0.249  0.114
S  0.443  0.749  0.886
S  0.805  0.738  0.610
S  0.195  0.238  0.390

- What is the E in the first record?
  -106.5 eV per cell

- Among the records above, which one has the highest E?
  VSiS3

- The highest E belongs to which entry?
  VSiS3

- What is the E in the first record?
  -106.5 eV per cell